Computed, not measured: crystalline SmPd6Au2 at its relaxed geometry at the PBE level of DFT.

Unit cell a=6.284 b=6.284 c=6.284 alpha=60.00 beta=60.00 gamma=60.00
Atoms (fractional coordinates):
Au 0.250 0.250 0.250
Au 0.750 0.750 0.750
Pd 0.285 0.715 0.715
Pd 0.285 0.285 0.715
Pd 0.715 0.285 0.285
Pd 0.285 0.715 0.285
Pd 0.715 0.285 0.715
Pd 0.715 0.715 0.285
Sm 0.000 0.000 0.000

energy above the most stable polymorph in this dataset: 317 meV per atom
space group: Fm-3m (225)
ΔE_f: 0.1435 eV/atom
total DFT energy (no corrections): -41.14 eV/f.u.